VASP calculation (GGA-PBE) on a relaxed structure of Tb3Si2Au4.

Computed properties:
The uncorrected formation energy comes out at -801.7 meV/atom. As for the crystal system: monoclinic.

a = 5.823 Å, b = 5.823 Å, c = 8.660 Å
α = 110.08°, β = 110.08°, γ = 44.56°
Sites, in units of the cell vectors:
Tb 0.000 0.000 0.000
Tb 0.337 0.337 0.333
Tb 0.663 0.663 0.667
Si 0.391 0.391 0.719
Si 0.609 0.609 0.281
Au 0.063 0.063 0.385
Au 0.289 0.289 0.934
Au 0.711 0.711 0.066
Au 0.937 0.937 0.615